Material: BaMo2AsO8
Method: DFT, GGA+U
State: relaxed

Values from the calculation:
- density of states at the Fermi level (states/eV/cell) = 4.53
- energy (eV per atom) = -6.572
- space group = R32
- spin magnetization (μB/cell) = 1.001

Cell: 5.2593 5.2593 8.7225 Å, 72.45 72.45 60.00°
Closest atoms and distances in Å follow each position.
Element x y z (fractional)
Ba: 0.0000 0.0000 0.0000  12 O 3.06-3.24
Mo: 0.7547 0.7547 0.7360  4 O 1.80-1.83
Mo: 0.2453 0.2453 0.2640  4 O 1.80-1.83
As: 0.5000 0.5000 0.5000  6 O 2.19
O: 0.6811 0.6811 0.9566  1 Mo 1.80
O: 0.3189 0.3189 0.0434  1 Mo 1.80
O: 0.5479 0.2419 0.3280  1 Mo 1.83
O: 0.7581 0.4521 0.6720  1 Mo 1.83
O: 0.1177 0.7581 0.6720  1 Mo 1.83
O: 0.2419 0.8823 0.3280  1 Mo 1.83
O: 0.8823 0.5479 0.3280  1 Mo 1.83
O: 0.4521 0.1177 0.6720  1 Mo 1.83